This record from Alexandria describes a geometry-optimized HfScTcO6 structure. The functional is PBE.

Geometry as POSCAR:
```
HfScTcO6
1.0
5.227 0.000 0.000
-2.614 4.527 0.000
0.000 0.000 9.205
O Hf Tc Sc
12 2 2 2
Cartesian
4.276 1.513 1.213 O
0.951 1.513 3.389 O
-0.835 1.580 5.815 O
1.786 0.067 1.213 O
-1.662 3.014 7.992 O
0.828 4.459 7.992 O
-0.828 4.459 5.815 O
3.448 2.946 3.389 O
1.779 2.946 1.213 O
1.662 3.014 5.815 O
0.835 1.580 7.992 O
3.441 0.067 3.389 O
0.000 3.018 2.301 Hf
2.614 1.509 6.904 Hf
0.000 3.018 6.904 Tc
2.614 1.509 2.301 Tc
0.000 0.000 0.000 Sc
0.000 0.000 4.602 Sc
```

Computed properties:
The density of states at the Fermi level comes out at 0.485 states/eV/atom. The calculation puts the total energy at -8.8442 eV per atom.